Entry 1:
The following is a DFT calculation (PBE) of a relaxed Cs2Te3Se2 crystal.

Structure (POSCAR):
```
Cs2Te3Se2
1.0
14.465 0.000 0.000
0.000 5.468 0.000
-1.982 0.000 7.342
Cs Te Se
4 6 4
Cartesian
1.099 0.000 2.054
4.151 2.734 5.289
8.332 2.734 2.054
11.384 0.000 5.289
-0.991 2.734 3.671
0.431 2.734 6.340
4.819 0.000 1.002
6.241 0.000 3.671
7.664 0.000 6.340
12.051 2.734 1.002
1.065 0.000 5.995
4.185 2.734 1.347
8.298 2.734 5.995
11.418 0.000 1.347
```

Calculated density ... 4.61 g cm⁻³
Fermi-level density of states ... 0.39 states/eV per atom
Magnetic moment ... 0.000 μB/f.u.
Uncorrected formation energy ... -3.9 eV/f.u.
V ... 580.7 Å³ per cell
Space-group type ... C2/m, No. 12

Entry 2:
The following is a DFT calculation (PBE) of a relaxed Cs2Te5Se4 crystal.

Structure (POSCAR):
```
Cs2Te5Se4
1.0
6.465 0.000 0.000
-0.492 7.790 0.000
-1.424 -1.743 9.697
Cs Te Se
2 5 4
Cartesian
0.746 3.135 2.407
3.803 2.912 7.290
0.000 0.000 0.000
0.068 7.008 3.132
0.445 6.397 6.062
4.105 -0.350 3.636
4.481 -0.961 6.565
0.590 3.936 6.080
1.186 -0.847 9.274
3.364 6.894 0.423
3.959 2.111 3.618
```

Calculated density ... 4.15 g cm⁻³
Fermi-level density of states ... 0.21 states/eV per atom
Magnetic moment ... 0.000 μB/f.u.
Uncorrected formation energy ... -3.7 eV/f.u.
V ... 488.4 Å³ per cell
Space-group type ... P-1, No. 2

Entry 3:
The following is a DFT calculation (PBE) of a relaxed CsThTe3Se crystal.

Structure (POSCAR):
```
CsThTe3Se
1.0
9.641 0.000 0.000
0.000 4.337 0.000
-1.455 0.000 10.904
Cs Th Te Se
2 2 6 2
Cartesian
1.157 1.084 3.213
7.028 3.253 7.691
2.116 3.253 9.099
6.070 1.084 1.805
-0.204 1.084 9.818
3.141 3.253 5.874
3.781 3.253 1.411
4.404 1.084 9.493
5.044 1.084 5.030
8.389 3.253 1.086
1.114 1.084 7.276
7.071 3.253 3.628
```

Calculated density ... 6.02 g cm⁻³
Fermi-level density of states ... 0.31 states/eV per atom
Magnetic moment ... 0.000 μB/f.u.
Uncorrected formation energy ... -6.1 eV/f.u.
V ... 456.0 Å³ per cell
Space-group type ... P2_1/m, No. 11

Entry 4:
The following is a DFT calculation (PBE) of a relaxed Cs2TlTeSe crystal.

Structure (POSCAR):
```
Cs2TlTeSe
1.0
6.952 0.000 0.000
0.000 6.952 0.000
0.000 0.000 5.520
Cs Tl Te Se
2 1 1 1
Cartesian
0.000 3.476 0.000
3.476 0.000 0.000
0.000 0.000 2.760
3.476 3.476 2.760
0.000 0.000 0.000
```

Calculated density ... 4.21 g cm⁻³
Fermi-level density of states ... 0.81 states/eV per atom
Energy above the lowest structure with this stoichiometry ... 0.226 eV per atom
Magnetic moment ... 0.509 μB/f.u.
Uncorrected formation energy ... -2.9 eV/f.u.
V ... 266.8 Å³ per cell
Space-group type ... P4/mmm, No. 123

Entry 5:
The following is a DFT calculation (PBE) of a relaxed CsTlTeSe3 crystal.

Structure (POSCAR):
```
CsTlTeSe3
1.0
2.692 -7.313 0.000
2.692 7.313 0.000
0.000 0.000 13.021
Cs Tl Te Se
2 2 2 6
Cartesian
2.692 3.735 9.766
2.692 -3.735 3.255
0.000 0.000 0.000
0.000 0.000 6.511
2.692 0.356 3.255
2.692 -0.356 9.766
2.692 6.855 3.255
2.692 1.889 1.258
2.692 1.889 5.252
2.692 -1.889 7.769
2.692 -1.889 11.763
2.692 -6.855 9.766
```

Calculated density ... 4.55 g cm⁻³
Magnetic moment ... 0.000 μB/f.u.
Uncorrected formation energy ... -2.7 eV/f.u.
V ... 512.6 Å³ per cell
Space-group type ... Cmcm, No. 63

Entry 6:
The following is a DFT calculation (PBE) of a relaxed Cs2TlTe2Se4 crystal.

Structure (POSCAR):
```
Cs2TlTe2Se4
1.0
9.767 -2.520 0.000
9.767 2.520 0.000
-2.081 0.000 7.469
Cs Tl Te Se
2 1 2 4
Cartesian
2.227 0.000 1.200
15.226 0.000 6.269
-1.041 0.000 3.734
6.184 0.000 1.643
11.269 0.000 5.825
2.021 0.000 4.875
8.752 0.000 1.215
8.700 0.000 6.253
15.432 0.000 2.593
```

Calculated density ... 4.70 g cm⁻³
Fermi-level density of states ... 0.16 states/eV per atom
Magnetic moment ... 0.000 μB/f.u.
Uncorrected formation energy ... -4.6 eV/f.u.
V ... 367.6 Å³ per cell
Space-group type ... C2/m, No. 12

| no. | final energy (Ha/atom) |
| --- | --- |
| 1 | -0.1154 |
| 2 | -0.1172 |
| 3 | -0.1672 |
| 4 | -0.1003 |
| 5 | -0.1195 |
| 6 | -0.1178 |